No. 1
The following is a DFT calculation (PBE) of Dy4InFe2Sn4 after structural relaxation.

Cell and atoms, written as POSCAR:
```
Dy4InFe2Sn4
1.0
-2.5098 -5.5282 -5.6290
1.3198 -3.6785 -7.2987
3.9693 -3.6361 5.0756
Dy Fe In Sn
4 2 1 4
Cartesian
-0.2399 -3.3514 -4.2626 Dy
0.8780 -6.9261 -5.6587 Dy
1.9013 -5.9167 -2.1935 Dy
3.0192 -9.4914 -3.5895 Dy
0.5439 -8.4658 -8.1303 Fe
2.2353 -4.3769 0.2782 Fe
0.0000 0.0000 0.0000 In
0.8191 -2.8482 -1.2765 Sn
0.1966 -9.7247 -10.3214 Sn
2.5827 -3.1181 2.4693 Sn
1.9602 -9.9946 -6.5756 Sn
```

Computed properties:
Crystal system: monoclinic
Raw total energy: -5.357 eV/atom
Space group: C2/m (12)
Volume: 255 Å³ per cell


No. 2
The following is a DFT calculation (PBE) of Zr2BrCl after structural relaxation.

Cell and atoms, written as POSCAR:
```
Zr2BrCl
1.0
-9.2305 -0.9697 2.3984
-8.2555 1.5356 4.6243
-9.1895 2.3637 1.3649
Br Cl Zr
1 1 2
Cartesian
-16.2319 1.7826 5.1038 Br
-10.5266 1.1560 3.3099 Cl
-3.2835 0.3606 1.0324 Zr
-23.3091 2.5598 7.3291 Zr
```

Computed properties:
Crystal system: trigonal
Raw total energy: -6.281 eV/atom
Space group: R3m (160)
Volume: 99 Å³ per cell


No. 3
The following is a DFT calculation (PBE) of Nb4SnAuN2 after structural relaxation.

Cell and atoms, written as POSCAR:
```
Nb4SnAuN2
1.0
3.2488 0.0000 0.0000
-1.6244 2.8135 0.0000
0.0000 0.0000 13.5400
Au N Nb Sn
1 2 4 1
Cartesian
0.0000 1.8757 0.0000 Au
0.0000 0.0000 3.3116 N
0.0000 0.0000 10.2284 N
1.6244 0.9378 2.2256 Nb
0.0000 1.8757 4.4447 Nb
0.0000 1.8757 9.0953 Nb
1.6244 0.9378 11.3144 Nb
1.6244 0.9378 6.7700 Sn
```

Computed properties:
Crystal system: hexagonal
Raw total energy: -8.586 eV/atom
Space group: P-6m2 (187)
Volume: 124 Å³ per cell


No. 4
The following is a DFT calculation (PBE) of Ba2Cd2TeSeO2 after structural relaxation.

Cell and atoms, written as POSCAR:
```
Ba2Cd2TeSeO2
1.0
4.3978 0.0000 0.0000
-2.1989 3.8086 0.0000
0.0000 0.0000 13.0634
Ba Cd O Se Te
2 2 2 1 1
Cartesian
0.0000 2.5391 3.7947 Ba
2.1989 1.2696 10.0834 Ba
0.0000 0.0000 6.5950 Cd
0.0000 0.0000 12.8866 Cd
0.0000 0.0000 4.4382 O
0.0000 0.0000 10.7284 O
0.0000 2.5391 7.5694 Se
2.1989 1.2696 1.0618 Te
```

Computed properties:
Crystal system: trigonal
Raw total energy: -4.364 eV/atom
Space group: P3m1 (156)
Volume: 219 Å³ per cell


No. 5
The following is a DFT calculation (PBE) of AgPdNO after structural relaxation.

Cell and atoms, written as POSCAR:
```
AgPdNO
1.0
2.9677 1.2770 -0.7167
1.1090 0.6521 5.7534
2.2739 -5.1998 0.1510
Ag N O Pd
2 2 2 2
Cartesian
1.8820 -0.2064 -0.2149 Ag
3.9597 -3.3635 2.7630 Ag
1.6003 -1.0478 4.7594 N
1.9361 -3.4096 1.9418 N
2.3926 -0.1508 1.9982 O
4.3001 -2.9187 4.9648 O
1.5118 -1.8315 2.9965 Pd
1.3385 -3.0293 0.1451 Pd
```

Computed properties:
Crystal system: orthorhombic
Offset from the most stable computed form: 161 meV/atom
Space group: Pmc2_1 (26)
Volume: 111 Å³ per cell


No. 6
The following is a DFT calculation (PBE) of NaBIr after structural relaxation.

Cell and atoms, written as POSCAR:
```
NaBIr
1.0
0.6220 2.7542 2.8820
-2.9038 0.8028 2.6836
0.4259 -1.1599 3.8407
B Ir Na
1 1 1
Cartesian
-0.4640 0.5993 2.3516 B
-1.3920 1.7978 7.0547 Ir
0.0000 0.0000 0.0000 Na
```

Computed properties:
Crystal system: cubic
Raw total energy: -3.462 eV/atom
Space group: F-43m (216)
Volume: 46 Å³ per cell


No. 7
The following is a DFT calculation (PBE) of NaLuSiPt after structural relaxation.

Cell and atoms, written as POSCAR:
```
NaLuSiPt
1.0
-2.7508 -3.7163 0.1503
-4.5320 0.5068 0.7772
-3.0317 -0.7730 -3.4075
Lu Na Pt Si
1 1 1 1
Cartesian
-5.1572 -1.9912 -1.2400 Lu
-7.7359 -2.9868 -1.8600 Na
-2.5786 -0.9956 -0.6200 Pt
0.0000 0.0000 0.0000 Si
```

Computed properties:
Crystal system: cubic
Offset from the most stable computed form: 0 meV/atom
Space group: F-43m (216)
Volume: 70 Å³ per cell


No. 8
The following is a DFT calculation (PBE) of FeTcBiMo after structural relaxation.

Cell and atoms, written as POSCAR:
```
FeTcBiMo
1.0
0.0000 3.1988 3.1988
3.1988 0.0000 3.1988
3.1988 3.1988 0.0000
Bi Fe Mo Tc
1 1 1 1
Cartesian
0.0000 0.0000 0.0000 Bi
4.7982 4.7982 4.7982 Fe
3.1988 3.1988 3.1988 Mo
1.5994 1.5994 1.5994 Tc
```

Computed properties:
Crystal system: cubic
Offset from the most stable computed form: 0 meV/atom
Space group: F-43m (216)
Volume: 65 Å³ per cell


No. 9
The following is a DFT calculation (PBE) of RbDySnTe3 after structural relaxation.

Cell and atoms, written as POSCAR:
```
RbDySnTe3
1.0
-12.2565 -11.9503 -0.2345
3.0316 -3.1259 0.8448
-1.7943 1.5980 12.3520
Dy Rb Sn Te
4 4 4 12
Cartesian
-11.6351 -12.3701 1.8045 Dy
-5.8737 -6.0683 4.4471 Dy
-5.1456 -7.4099 8.5152 Dy
0.6158 -1.1080 11.1578 Dy
-8.3003 -9.3530 1.0011 Rb
-2.7902 -2.8275 5.3732 Rb
-8.2291 -10.6507 7.5891 Rb
-2.7189 -4.1251 11.9612 Rb
-3.5475 -7.7476 1.5308 Sn
-10.2807 -13.1840 5.5779 Sn
-0.7386 -0.2942 7.3843 Sn
-7.4717 -5.7306 11.4315 Sn
-8.7689 -12.9839 0.8933 Te
-4.0087 -4.8638 2.2112 Te
-5.3425 -8.9817 3.4060 Te
0.7340 -2.9605 3.8792 Te
-10.4282 -10.5795 4.0991 Te
-3.4014 -6.3313 6.2472 Te
-7.6178 -7.1469 6.7151 Te
-0.5910 -2.8986 8.8632 Te
-11.7533 -10.5177 9.0831 Te
-5.6767 -4.4965 9.5563 Te
-7.0105 -8.6144 10.7511 Te
-2.2503 -0.4943 12.0690 Te
```

Computed properties:
Crystal system: orthorhombic
Offset from the most stable computed form: 0 meV/atom
Space group: Pnma (62)
Volume: 956 Å³ per cell


No. 10
The following is a DFT calculation (PBE) of Ta2AlC after structural relaxation.

Cell and atoms, written as POSCAR:
```
Ta2AlC
1.0
-1.1693 -1.4387 -2.4778
2.8640 -0.6638 0.9664
-5.1017 -10.0284 8.2306
Al C Ta
2 2 4
Cartesian
-1.1003 -3.6875 0.7279 Al
-2.3068 -8.4434 5.9913 Al
0.0000 0.0000 0.0000 C
-2.5509 -5.0142 4.1153 C
1.0585 -1.8283 0.5620 Ta
-0.5703 -5.0302 3.1899 Ta
-2.8367 -7.1008 3.5292 Ta
-4.4656 -10.3027 6.1571 Ta
```

Computed properties:
Crystal system: hexagonal
Raw total energy: -9.698 eV/atom
Space group: P6_3/mmc (194)
Volume: 116 Å³ per cell


No. 11
The following is a DFT calculation (PBE) of Zr2AlB2 after structural relaxation.

Cell and atoms, written as POSCAR:
```
Zr2AlB2
1.0
1.5961 -6.0102 0.0000
1.5961 6.0102 0.0000
0.0000 0.0000 3.5861
Al B Zr
1 2 2
Cartesian
0.0000 0.0000 0.0000 Al
1.5961 -3.4333 0.0000 B
1.5961 3.4333 0.0000 B
1.5961 -1.6822 1.7930 Zr
1.5961 1.6822 1.7930 Zr
```

Computed properties:
Crystal system: orthorhombic
Raw total energy: -7.555 eV/atom
Space group: Cmmm (65)
Volume: 69 Å³ per cell


No. 12
The following is a DFT calculation (PBE) of SbMoPb2 after structural relaxation.

Cell and atoms, written as POSCAR:
```
SbMoPb2
1.0
-5.0006 1.4470 0.2548
-2.1779 2.5611 -3.9827
-3.5533 -2.3670 -2.9892
Mo Pb Sb
1 2 1
Cartesian
-2.6830 0.4103 -1.6793 Mo
0.0000 0.0000 0.0000 Pb
-8.0489 1.2308 -5.0379 Pb
-5.3659 0.8206 -3.3586 Sb
```

Computed properties:
Crystal system: cubic
Raw total energy: -4.893 eV/atom
Space group: F-43m (216)
Volume: 100 Å³ per cell